1.
DFT (PBE) results for crystalline BeCo2Mo at its relaxed geometry.

Geometry as CIF:
```
data_BeCo2Mo
_space_group_name_H-M_alt 'P 1'
_space_group_IT_number 1
_cell_length_a 2.593
_cell_length_b 3.543
_cell_length_c 4.958
_cell_angle_alpha 90.00
_cell_angle_beta 90.00
_cell_angle_gamma 90.00
loop_
_space_group_symop_operation_xyz
'x,y,z'
loop_
_atom_site_label
_atom_site_type_symbol
_atom_site_fract_x
_atom_site_fract_y
_atom_site_fract_z
Be1 Be 0.000 0.000 0.000
Co1 Co 0.000 0.000 0.459
Co2 Co 0.500 0.500 0.171
Mo1 Mo 0.500 0.500 0.703
```

## Properties
space-group type: Pmm2
crystal system: orthorhombic
raw total energy: -7.144 eV per atom
calculated volume: 46 Å³ per cell

---

2.
DFT (PBE) results for crystalline RbINF2 at its relaxed geometry.

Geometry as CIF:
```
data_RbINF2
_space_group_name_H-M_alt 'P 1'
_space_group_IT_number 1
_cell_length_a 4.993
_cell_length_b 4.993
_cell_length_c 4.030
_cell_angle_alpha 90.00
_cell_angle_beta 90.00
_cell_angle_gamma 90.00
loop_
_space_group_symop_operation_xyz
'x,y,z'
loop_
_atom_site_label
_atom_site_type_symbol
_atom_site_fract_x
_atom_site_fract_y
_atom_site_fract_z
Rb1 Rb 0.000 0.000 0.000
I1 I 0.500 0.500 0.500
N1 N 0.500 0.500 0.000
F1 F 0.000 0.500 0.500
F2 F 0.500 0.000 0.500
```

## Properties
space-group type: P4/mmm
raw formation energy: -0.66 eV per atom
crystal system: tetragonal
calculated volume: 100 Å³ per cell

---

3.
DFT (PBE) results for crystalline CaRePt3 at its relaxed geometry.

Geometry as CIF:
```
data_CaRePt3
_space_group_name_H-M_alt 'P 1'
_space_group_IT_number 1
_cell_length_a 4.884
_cell_length_b 4.884
_cell_length_c 4.884
_cell_angle_alpha 90.00
_cell_angle_beta 90.00
_cell_angle_gamma 90.00
loop_
_space_group_symop_operation_xyz
'x,y,z'
loop_
_atom_site_label
_atom_site_type_symbol
_atom_site_fract_x
_atom_site_fract_y
_atom_site_fract_z
Ca1 Ca 0.000 0.000 0.000
Re1 Re 0.500 0.500 0.500
Pt1 Pt 0.000 0.500 0.500
Pt2 Pt 0.500 0.000 0.500
Pt3 Pt 0.500 0.500 0.000
```

## Properties
space-group type: Pm-3m
crystal system: cubic
raw total energy: -6.235 eV per atom
calculated volume: 117 Å³ per cell

---

4.
DFT (PBE) results for crystalline Dy6Tm5Mg2 at its relaxed geometry.

Geometry as CIF:
```
data_Dy6Tm5Mg2
_space_group_name_H-M_alt 'P 1'
_space_group_IT_number 1
_cell_length_a 10.244
_cell_length_b 22.340
_cell_length_c 3.507
_cell_angle_alpha 90.00
_cell_angle_beta 90.00
_cell_angle_gamma 90.00
loop_
_space_group_symop_operation_xyz
'x,y,z'
loop_
_atom_site_label
_atom_site_type_symbol
_atom_site_fract_x
_atom_site_fract_y
_atom_site_fract_z
Dy1 Dy 0.019 0.113 0.000
Dy2 Dy 0.142 0.382 0.000
Dy3 Dy 0.171 0.634 0.500
Dy4 Dy 0.329 0.134 0.500
Dy5 Dy 0.358 0.882 0.000
Dy6 Dy 0.481 0.613 0.000
Dy7 Dy 0.519 0.387 0.000
Dy8 Dy 0.642 0.118 0.000
Dy9 Dy 0.671 0.866 0.500
Dy10 Dy 0.829 0.366 0.500
Dy11 Dy 0.858 0.618 0.000
Dy12 Dy 0.981 0.887 0.000
Tm1 Tm 0.000 0.500 0.500
Tm2 Tm 0.077 0.249 0.500
Tm3 Tm 0.166 0.994 0.500
Tm4 Tm 0.334 0.494 0.500
Tm5 Tm 0.423 0.749 0.500
Tm6 Tm 0.500 0.000 0.500
Tm7 Tm 0.577 0.251 0.500
Tm8 Tm 0.666 0.506 0.500
Tm9 Tm 0.834 0.006 0.500
Tm10 Tm 0.923 0.751 0.500
Mg1 Mg 0.172 0.761 0.000
Mg2 Mg 0.328 0.261 0.000
Mg3 Mg 0.672 0.739 0.000
Mg4 Mg 0.828 0.239 0.000
```

## Properties
space-group type: Pbam
crystal system: orthorhombic
raw total energy: -3.944 eV per atom
calculated volume: 803 Å³ per cell